i.
AcLuPO: optimized geometry, PBE-GGA.

Cell: 4.442 4.442 9.252 Å, 90.00 90.00 90.00°
Positions (direct):
1 Ac 0.000 0.500 0.125
2 Ac 0.500 0.000 0.875
3 Lu 0.000 0.000 0.500
4 Lu 0.500 0.500 0.500
5 O 0.000 0.000 0.000
6 O 0.500 0.500 0.000
7 P 0.500 0.000 0.332
8 P 0.000 0.500 0.668

Space group: P4/nmm (129)

=====

ii.
AcLuPO: optimized geometry, PBE-GGA.

Cell: 4.994 6.432 6.186 Å, 90.00 90.00 90.00°
Positions (direct):
1 Ac 0.000 0.733 0.440
2 Ac 0.000 0.267 0.940
3 Lu 0.500 0.843 0.015
4 Lu 0.500 0.157 0.515
5 O 0.500 0.864 0.360
6 O 0.500 0.136 0.860
7 P 0.000 0.257 0.438
8 P 0.000 0.743 0.938

Space group: Pmc2_1 (26)

=====

Here is how they stack up, most stable first: ii, i.